Record 1
A plane-wave DFT calculation with GGA-PBE was carried out for Tc2Au after structural relaxation.

a b c (Å): 4.4984 4.4984 5.4403
angles (deg): 90.00 90.00 120.00
Site moments in Bohr magnetons follow the coordinates.
Element x y z (fractional)
Tc: 0.0000 0.0000 0.5000  -0.01
Tc: 0.6667 0.3333 0.2500  1.32
Au: 0.6667 0.3333 0.7500  0.11
Au: 0.3333 0.6667 0.2500  0.11
Tc: 0.0000 0.0000 0.0000  -0.01
Tc: 0.3333 0.6667 0.7500  1.32

Summary:
- size of the total moment (Bohr magnetons per cell) = 3.05
- calculated density (g cm⁻³) = 13.69
- space-group type = No. 194
- DOS at the Fermi energy (states/eV/f.u.) = 3.024
- E (eV per atom) = -7.45
- ΔE_f (eV/f.u.) = 1.67

=====

Record 2
A plane-wave DFT calculation with GGA-PBE was carried out for CoRh2 after structural relaxation.

a b c (Å): 5.6866 5.6866 5.6866
angles (deg): 90.00 90.00 90.00
Site moments in Bohr magnetons follow the coordinates.
Element x y z (fractional)
Co: 0.5000 0.0000 0.5000  1.44
Rh: 0.8723 0.1277 0.6277  0.47
Co: 0.0000 0.5000 0.5000  1.44
Rh: 0.3723 0.1277 0.8723  0.47
Rh: 0.1277 0.6277 0.8723  0.47
Rh: 0.6277 0.6277 0.6277  0.47
Rh: 0.3723 0.3723 0.3723  0.47
Rh: 0.8723 0.3723 0.1277  0.47
Co: 0.0000 0.0000 0.0000  1.44
Rh: 0.6277 0.8723 0.1277  0.47
Co: 0.5000 0.5000 0.0000  1.44
Rh: 0.1277 0.8723 0.3723  0.47

Summary:
- size of the total moment (Bohr magnetons per cell) = 9.63
- calculated density (g cm⁻³) = 9.56
- space-group type = No. 205
- DOS at the Fermi energy (states/eV/f.u.) = 4.996
- E (eV per atom) = -6.55
- ΔE_f (eV/f.u.) = 2.15

=====

Record 3
A plane-wave DFT calculation with GGA-PBE was carried out for ZrScTa4 after structural relaxation.

a b c (Å): 5.5846 5.5846 5.5846
angles (deg): 60.00 60.00 60.00
Element x y z (fractional)
Sc: 0.0000 0.0000 0.0000
Ta: 0.3752 0.3752 0.3752
Ta: 0.3752 0.8745 0.3752
Ta: 0.8745 0.3752 0.3752
Ta: 0.3752 0.3752 0.8745
Zr: 0.7500 0.7500 0.7500

Summary:
- size of the total moment (Bohr magnetons per cell) = 0.31
- calculated density (g cm⁻³) = 11.60
- space-group type = No. 216
- DOS at the Fermi energy (states/eV/f.u.) = 16.693
- E (eV per atom) = -10.22
- ΔE_f (eV/f.u.) = 0.97

=====

Record 4
A plane-wave DFT calculation with GGA-PBE was carried out for V2SbN after structural relaxation.

a b c (Å): 5.0070 5.0070 6.4512
angles (deg): 67.17 67.17 90.00
Site moments in Bohr magnetons follow the coordinates.
Element x y z (fractional)
V: 0.8750 0.7222 0.7500  0.10
V: 0.4722 0.1250 0.2500  0.10
Sb: 0.7500 0.2500 0.5000  -0.01
V: 0.3750 0.5278 0.7500  0.10
N: 0.2500 0.7500 0.5000  -0.01
Sb: 0.0000 0.0000 0.0000  -0.01
N: 0.5000 0.5000 0.0000  -0.01
V: 0.2778 0.6250 0.2500  0.10

Summary:
- size of the total moment (Bohr magnetons per cell) = 0.40
- calculated density (g cm⁻³) = 5.84
- space-group type = No. 122
- formation energy (no corrections) (eV/atom) = -0.16
- DOS at the Fermi energy (states/eV/f.u.) = 3.341
- E (eV per atom) = -7.83

=====

Record 5
A plane-wave DFT calculation with GGA-PBE was carried out for PrNpGe2 after structural relaxation.

a b c (Å): 4.2080 4.2080 7.3945
angles (deg): 73.47 73.47 60.00
Site moments in Bohr magnetons follow the coordinates.
Element x y z (fractional)
Pr: 0.5000 0.5000 0.5000  -0.12
Ge: 0.2573 0.2573 0.2280  -0.04
Np: 0.0000 0.0000 0.0000  3.44
Ge: 0.7427 0.7427 0.7720  -0.04

Summary:
- size of the total moment (Bohr magnetons per cell) = 3.20
- calculated density (g cm⁻³) = 8.11
- space-group type = No. 166
- DOS at the Fermi energy (states/eV/f.u.) = 11.268
- E (eV per atom) = -7.00
- ΔE_f (eV/f.u.) = -1.06

=====

Record 6
A plane-wave DFT calculation with GGA-PBE was carried out for CdAg2Te after structural relaxation.

a b c (Å): 3.9511 3.9511 5.7733
angles (deg): 90.00 90.00 90.00
Element x y z (fractional)
Te: 0.5000 0.5000 0.7563
Ag: 0.0000 0.0000 0.0081
Ag: 0.5000 0.5000 0.2481
Cd: 0.0000 0.0000 0.4876

Summary:
- size of the total moment (Bohr magnetons per cell) = 0.00
- calculated density (g cm⁻³) = 8.40
- space-group type = No. 99
- formation energy (no corrections) (eV/atom) = 0.02
- DOS at the Fermi energy (states/eV/f.u.) = 0.995
- E (eV per atom) = -2.42

=====

Record 7
A plane-wave DFT calculation with GGA-PBE was carried out for Ce7Ga3Os2 after structural relaxation.

a b c (Å): 5.1084 5.1917 12.9884
angles (deg): 101.53 90.00 90.00
Site moments in Bohr magnetons follow the coordinates.
Element x y z (fractional)
Ga: 0.5000 0.6960 0.3921  -0.03
Ce: 0.0000 0.0000 0.0000  0.60
Ce: 0.0000 0.2225 0.4449  0.67
Ce: 0.5000 0.9153 0.8306  0.36
Os: 0.0000 0.1113 0.2226  -0.05
Ga: 0.5000 0.5000 0.0000  -0.02
Os: 0.0000 0.8887 0.7774  -0.05
Ga: 0.5000 0.3040 0.6079  -0.03
Ce: 0.0000 0.6205 0.2410  0.18
Ce: 0.0000 0.3795 0.7590  0.18
Ce: 0.0000 0.7775 0.5551  0.67
Ce: 0.5000 0.0847 0.1694  0.36

Summary:
- size of the total moment (Bohr magnetons per cell) = 3.30
- calculated density (g cm⁻³) = 7.73
- space-group type = No. 65
- DOS at the Fermi energy (states/eV/f.u.) = 29.235
- E (eV per atom) = -6.18
- ΔE_f (eV/f.u.) = -1.09

=====

Record 8
A plane-wave DFT calculation with GGA-PBE was carried out for MgGa6Pd after structural relaxation.

a b c (Å): 6.9341 6.2670 5.3813
angles (deg): 54.39 68.14 50.25
Element x y z (fractional)
Pd: 0.5000 0.5000 0.0000
Ga: 0.2596 0.8207 0.4914
Ga: 0.7404 0.6879 0.4914
Ga: 0.2596 0.3121 0.5086
Ga: 0.2557 0.3098 0.0000
Mg: 0.0000 0.0000 0.0000
Ga: 0.7404 0.1793 0.5086
Ga: 0.7443 0.6902 0.0000

Summary:
- size of the total moment (Bohr magnetons per cell) = 0.00
- calculated density (g cm⁻³) = 6.24
- space-group type = No. 12
- DOS at the Fermi energy (states/eV/f.u.) = 2.551
- E (eV per atom) = -3.31
- ΔE_f (eV/f.u.) = -1.50

=====

Question: Which value of size of the total moment does entry 6 give?
Answer: 0.00 Bohr magnetons per cell

=====

Question: What is the size of the total moment in the fifth record?
Answer: 3.20 Bohr magnetons per cell

=====

Question: Which value of E does entry 1 give?
Answer: -7.45 eV per atom

=====

Question: Which formula does entry 3 have?
Answer: ZrScTa4